A relaxed ZnAu3 crystal. Source: Alexandria, functional GGA-PBEsol.

Structure (POSCAR):
```
ZnAu3
1.0
-1.740 -0.283 -5.279
-4.624 -2.644 1.665
-1.547 8.626 0.047
Au Zn
12 4
Cartesian
-4.101 0.276 -1.597 Au
-5.252 4.242 1.503 Au
-3.810 5.423 -1.969 Au
-0.919 1.740 0.210 Au
-4.376 2.787 -3.108 Au
-1.223 4.234 -1.291 Au
-3.535 2.912 -0.458 Au
-6.688 1.465 -2.276 Au
-2.890 -1.071 -3.783 Au
-1.394 -0.572 -1.369 Au
-4.969 -2.355 -2.245 Au
-3.474 -1.856 0.169 Au
-5.991 3.854 -1.166 Zn
-3.362 0.665 1.072 Zn
-1.920 1.845 -2.400 Zn
-2.810 5.317 0.641 Zn
```

## Properties
space-group type	Cmce (64)
theoretical density	16.89	g/cm3
energy of formation from the pure elements	-15	kJ per mole of atoms
volume	16.13	A^3/atom
DFT total energy	-3.50	eV per atom


A relaxed Pr2ZrS5 crystal. Source: Alexandria, functional GGA-PBEsol.

Structure (POSCAR):
```
Pr2ZrS5
1.0
7.291 0.000 0.000
0.000 8.035 0.000
0.000 0.000 11.383
Pr Zr S
8 4 20
Cartesian
3.286 4.019 3.715 Pr
0.359 8.033 9.407 Pr
4.005 0.002 7.668 Pr
6.932 4.016 1.976 Pr
4.005 4.016 7.668 Pr
6.932 0.002 1.976 Pr
3.286 8.033 3.715 Pr
0.359 4.019 9.407 Pr
6.739 2.009 5.574 Zr
4.197 2.009 11.266 Zr
0.552 6.026 5.809 Zr
3.094 6.026 0.117 Zr
1.267 0.300 6.584 S
2.379 3.717 0.892 S
6.024 4.317 4.800 S
4.912 7.735 10.491 S
6.024 7.735 4.800 S
4.912 4.317 10.491 S
1.267 3.717 6.584 S
2.379 0.300 0.892 S
1.089 2.009 3.535 S
2.557 2.009 9.227 S
6.202 6.026 7.848 S
4.734 6.026 2.157 S
4.052 2.009 5.641 S
6.884 2.009 11.333 S
3.238 6.026 5.743 S
0.407 6.026 0.051 S
6.065 2.009 8.067 S
4.871 2.009 2.375 S
1.226 6.026 3.316 S
2.420 6.026 9.008 S
```

## Properties
space-group type	Pnma (62)
theoretical density	5.31	g/cm3
raw formation energy	-1975	meV per atom
volume	20.84	A^3/atom
DFT total energy	-7.15	eV per atom


A relaxed HWSN2 crystal. Source: Alexandria, functional GGA-PBEsol.

Structure (POSCAR):
```
HWSN2
1.0
-2.102 0.627 3.139
-2.962 -1.805 -1.623
1.551 -4.242 1.885
H S W N
1 1 1 2
Cartesian
-1.757 -2.710 1.701 H
0.776 -2.121 0.943 S
0.000 0.000 0.000 W
-1.481 -0.902 -0.812 N
-1.051 0.313 1.570 N
```

## Properties
space-group type	P4/mmm (123)
theoretical density	5.67	g/cm3
volume	14.36	A^3/atom
DFT total energy	-6.93	eV per atom


A relaxed AlIn2Os crystal. Source: Alexandria, functional GGA-PBEsol.

Structure (POSCAR):
```
AlIn2Os
1.0
-0.276 2.566 -1.360
-1.523 -0.326 2.466
7.642 3.573 5.192
Os Al In
1 1 2
Cartesian
2.921 2.907 3.149 Os
-0.900 1.120 0.553 Al
2.074 0.970 1.409 In
5.568 2.604 3.783 In
```

## Properties
space-group type	Cmmm (65)
theoretical density	9.82	g/cm3
energy of formation from the pure elements	49	kJ per mole of atoms
volume	18.89	A^3/atom
DFT total energy	-5.06	eV per atom


A relaxed Sc2GaSe crystal. Source: Alexandria, functional GGA-PBEsol.

Structure (POSCAR):
```
Sc2GaSe
1.0
-1.143 -2.372 -3.951
-2.626 -3.946 0.276
-4.482 0.017 -1.566
Sc Ga Se
2 1 1
Cartesian
-2.063 -1.575 -1.310 Sc
-6.189 -4.726 -3.930 Sc
0.000 0.000 0.000 Ga
-4.126 -3.151 -2.620 Se
```

## Properties
space-group type	Fm-3m (225)
theoretical density	5.23	g/cm3
raw formation energy	-734	meV per atom
volume	18.92	A^3/atom
DFT total energy	-5.83	eV per atom


A relaxed Li2CuW crystal. Source: Alexandria, functional GGA-PBEsol.

Structure (POSCAR):
```
Li2CuW
1.0
2.513 0.000 0.029
0.000 4.112 0.000
-1.119 0.000 5.362
Cu Li W
1 2 1
Cartesian
-0.571 2.056 3.877 Cu
0.220 0.000 0.078 Li
1.785 2.056 1.235 Li
0.657 0.000 2.897 W
```

## Properties
space-group type	Pm (6)
theoretical density	7.81	g/cm3
energy of formation from the pure elements	38	kJ per mole of atoms
volume	13.89	A^3/atom
DFT total energy	-5.12	eV per atom